A plane-wave DFT calculation with PBE was carried out for a relaxed Y3Hg crystal.

a = 3.652 Å, b = 4.625 Å, c = 6.771 Å
α = 90.00°, β = 90.00°, γ = 90.00°
Positions (direct):
Y  0.000  0.000  0.500
Y  0.500  0.500  0.239
Y  0.500  0.500  0.761
Hg  0.000  0.000  0.000

Values from the calculation:
DOS(E_F)	1.35	states/eV per atom
space-group type	Pmmm (47)
calculated formation energy	-0.154	eV/atom
size of the total moment	0.00	μB per cell


A plane-wave DFT calculation with PBE was carried out for a relaxed LiZrCuPt crystal.

a = 4.504 Å, b = 4.504 Å, c = 4.504 Å
α = 60.00°, β = 60.00°, γ = 60.00°
Positions (direct):
Zr  0.000  0.000  0.000
Li  0.500  0.500  0.500
Cu  0.250  0.250  0.250
Pt  0.750  0.750  0.750

Values from the calculation:
DOS(E_F)	0.61	states/eV per atom
space-group type	F-43m (216)
calculated formation energy	-0.498	eV/atom
size of the total moment	0.00	μB per cell


A plane-wave DFT calculation with PBE was carried out for a relaxed BeReRh crystal.

a = 3.771 Å, b = 3.771 Å, c = 9.465 Å
α = 90.00°, β = 90.00°, γ = 120.00°
Positions (direct):
Rh  0.000  0.000  0.500
Rh  0.000  0.000  0.000
Be  0.667  0.333  0.750
Be  0.333  0.667  0.250
Re  0.000  0.000  0.750
Re  0.000  0.000  0.250

Values from the calculation:
DOS(E_F)	1.28	states/eV per atom
space-group type	P6_3/mmc (194)
calculated formation energy	1.858	eV/atom
size of the total moment	0.00	μB per cell


A plane-wave DFT calculation with PBE was carried out for a relaxed YCdCl2 crystal.

a = 3.544 Å, b = 5.849 Å, c = 5.851 Å
α = 51.78°, β = 90.00°, γ = 90.00°
Positions (direct):
Y  0.500  0.500  0.500
Cl  0.500  0.500  0.000
Cl  0.000  0.000  0.000
Cd  0.000  0.000  0.500

Values from the calculation:
DOS(E_F)	0.36	states/eV per atom
space-group type	P2/m (10)
uncorrected formation energy	-0.96	eV/atom
size of the total moment	0.00	μB per cell


A plane-wave DFT calculation with PBE was carried out for a relaxed ReTe3 crystal.

a = 5.158 Å, b = 5.158 Å, c = 5.158 Å
α = 124.27°, β = 124.27°, γ = 82.75°
Positions (direct):
Te  0.500  0.500  0.000
Te  0.250  0.750  0.500
Te  0.750  0.250  0.500
Re  0.000  0.000  0.000

Values from the calculation:
DOS(E_F)	0.64	states/eV per atom
space-group type	I4/mmm (139)
uncorrected formation energy	0.96	eV/atom
size of the total moment	0.00	μB per cell


A plane-wave DFT calculation with PBE was carried out for a relaxed MnZn2H crystal.

a = 4.193 Å, b = 4.193 Å, c = 4.193 Å
α = 60.00°, β = 60.00°, γ = 60.00°
Last column: magnetic moment on the atom in μB.
Positions (direct):
H  0.000  0.000  0.000  0.07
Zn  0.750  0.750  0.750  -0.04
Zn  0.250  0.250  0.250  -0.04
Mn  0.500  0.500  0.500  3.47

Values from the calculation:
calculated total energy	-3.109	eV per atom
DOS(E_F)	0.42	states/eV per atom
space-group type	Fm-3m (225)
size of the total moment	3.62	μB per cell


A plane-wave DFT calculation with PBE was carried out for a relaxed SrH2IO4 crystal.

a = 4.985 Å, b = 5.196 Å, c = 5.196 Å
α = 69.71°, β = 61.33°, γ = 61.33°
Positions (direct):
O  0.009  0.804  0.596
O  0.590  0.596  0.804
O  0.410  0.196  0.404
O  0.991  0.404  0.196
H  0.196  0.304  0.304
H  0.804  0.696  0.696
I  0.500  0.500  0.500
Sr  0.000  0.000  0.000

Values from the calculation:
calculated total energy	-4.777	eV per atom
DOS(E_F)	0.21	states/eV per atom
space-group type	I222 (23)
size of the total moment	0.00	μB per cell


A plane-wave DFT calculation with PBE was carried out for a relaxed YMg4 crystal.

a = 6.283 Å, b = 6.283 Å, c = 6.283 Å
α = 109.47°, β = 109.47°, γ = 109.47°
Positions (direct):
Y  0.000  0.000  0.000
Mg  0.000  0.500  0.000
Mg  0.500  0.000  0.000
Mg  0.500  0.500  0.500
Mg  0.000  0.000  0.500

Values from the calculation:
DOS(E_F)	0.74	states/eV per atom
space-group type	Im-3m (229)
calculated formation energy	0.656	eV/atom
size of the total moment	0.00	μB per cell